Compound: LaDy2Te
Source: the Alexandria database
Functional: PBE-GGA
Structure: optimized geometry

abc: 10.2914 10.2914 10.2914
angles: 21.93 21.93 21.93
Fractional positions:
La  0.0000  0.0000  0.0000
Dy  0.5694  0.5694  0.5694
Dy  0.7642  0.7642  0.7642
Te  0.1668  0.1668  0.1668

Output
- formation energy from raw total energies (eV per atom) = -0.53
- SG = R3m
- offset from the most stable computed form (eV/atom) = 0.000
- total moment (μB per cell) = 0.1
- V (Å³/cell) = 133
- calculated total energy (eV/atom) = -4.84